Entry 1:
Computed, not measured: a PBEsol-optimized structure of KCr2P at the meta-GGA SCAN level of DFT.

Cell and atoms, written as POSCAR:
```
KCr2P
1.0
2.9938 0.0000 0.0000
0.0000 2.9938 0.0000
0.0000 0.0000 7.7263
K Cr P
1 2 1
Direct
0.0000 0.0000 0.0000
0.0000 0.0000 0.4654
0.5000 0.5000 0.6283
0.5000 0.5000 0.3057
```

Energy of formation, meV per atom: 92



Entry 2:
Computed, not measured: a PBEsol-optimized structure of CaHfTeN2 at the meta-GGA SCAN level of DFT.

Cell and atoms, written as POSCAR:
```
CaHfTeN2
1.0
4.2618 0.0000 0.0000
0.0000 4.2618 0.0000
0.0000 0.0000 5.5673
Ca Hf Te N
1 1 1 2
Direct
0.0000 0.0000 0.0000
0.5000 0.5000 0.5000
0.0000 0.0000 0.5000
0.0000 0.5000 0.0000
0.5000 0.0000 0.0000
```



Entry 3:
Computed, not measured: a PBEsol-optimized structure of Sc3CrMo at the meta-GGA SCAN level of DFT.

Cell and atoms, written as POSCAR:
```
Sc3CrMo
1.0
4.9051 0.0000 0.0000
0.0000 4.9051 0.0000
0.0000 0.0000 4.9051
Sc Cr Mo
3 1 1
Direct
0.0000 0.0000 0.5000
0.0000 0.5000 0.0000
0.5000 0.0000 0.0000
0.5000 0.5000 0.5000
0.0000 0.0000 0.0000
```

Energy of formation, meV per atom: 643



Entry 4:
Computed, not measured: a PBEsol-optimized structure of ZrTlCu at the meta-GGA SCAN level of DFT.

Cell and atoms, written as POSCAR:
```
ZrTlCu
1.0
3.1676 0.0000 0.0000
0.0000 4.2691 0.0000
0.0000 0.0000 8.4720
Zr Tl Cu
2 2 2
Direct
0.0000 0.0000 0.0000
0.5000 0.5000 0.5000
0.0000 0.0000 0.3338
0.5000 0.5000 0.8338
0.0000 0.0000 0.6614
0.5000 0.5000 0.1614
```

Energy of formation, meV per atom: 147



Entry 5:
Computed, not measured: a PBEsol-optimized structure of TiMoBr2 at the meta-GGA SCAN level of DFT.

Cell and atoms, written as POSCAR:
```
TiMoBr2
1.0
4.3302 0.0000 0.0000
0.0000 4.3302 0.0000
0.0000 0.0000 16.2363
Ti Mo Br
4 4 8
Direct
0.0000 0.0000 0.0000
0.0000 0.5000 0.2500
0.5000 0.0000 0.7500
0.5000 0.5000 0.5000
0.0000 0.0000 0.5000
0.0000 0.5000 0.7500
0.5000 0.0000 0.2500
0.5000 0.5000 0.0000
0.2483 0.2500 0.6250
0.2500 0.7483 0.8750
0.2500 0.7517 0.3750
0.2517 0.2500 0.1250
0.7483 0.7500 0.1250
0.7500 0.2483 0.3750
0.7500 0.2517 0.8750
0.7517 0.7500 0.6250
```



Entry 6:
Computed, not measured: a PBEsol-optimized structure of TeAuN2F at the meta-GGA SCAN level of DFT.

Cell and atoms, written as POSCAR:
```
TeAuN2F
1.0
4.1141 0.0000 0.0000
0.0000 4.1141 0.0000
0.0000 0.0000 4.4218
Te Au N F
1 1 2 1
Direct
0.0000 0.0000 0.0000
0.5000 0.5000 0.0000
0.0000 0.5000 0.5000
0.5000 0.0000 0.5000
0.0000 0.0000 0.5000
```



Entry 7:
Computed, not measured: a PBEsol-optimized structure of FeNi2Rh at the meta-GGA SCAN level of DFT.

Cell and atoms, written as POSCAR:
```
FeNi2Rh
1.0
2.5694 0.0000 0.0000
0.0000 4.1053 0.0000
0.0000 0.0000 4.3788
Fe Ni Rh
1 2 1
Direct
0.0000 0.0000 0.0000
0.5000 0.0000 0.5086
0.5000 0.5000 0.8341
0.0000 0.5000 0.3401
```

Energy of formation, meV per atom: -100



Entry 8:
Computed, not measured: a PBEsol-optimized structure of HfCuOs3 at the meta-GGA SCAN level of DFT.

Cell and atoms, written as POSCAR:
```
HfCuOs3
1.0
4.3858 0.0000 0.0000
0.0000 4.3858 0.0000
0.0000 0.0000 4.3858
Hf Cu Os
1 1 3
Direct
0.0000 0.0000 0.0000
0.5000 0.5000 0.5000
0.0000 0.5000 0.5000
0.5000 0.0000 0.5000
0.5000 0.5000 0.0000
```

Energy of formation, meV per atom: 1375
Energy above the lowest structure with this stoichiometry, meV per atom: 0



Entry 9:
Computed, not measured: a PBEsol-optimized structure of ScCrPb at the meta-GGA SCAN level of DFT.

Cell and atoms, written as POSCAR:
```
ScCrPb
1.0
6.4998 0.0000 0.0000
0.0000 6.4998 0.0000
0.0000 0.0000 6.4998
Sc Cr Pb
4 4 4
Direct
0.0000 0.0000 0.0000
0.0000 0.5000 0.5000
0.5000 0.0000 0.5000
0.5000 0.5000 0.0000
0.2500 0.2500 0.2500
0.2500 0.7500 0.7500
0.7500 0.2500 0.7500
0.7500 0.7500 0.2500
0.0000 0.0000 0.5000
0.0000 0.5000 0.0000
0.5000 0.0000 0.0000
0.5000 0.5000 0.5000
```

Energy of formation, meV per atom: -157



Entry 10:
Computed, not measured: a PBEsol-optimized structure of ScIn7 at the meta-GGA SCAN level of DFT.

Cell and atoms, written as POSCAR:
```
ScIn7
1.0
0.0000 4.5631 4.5631
4.5631 0.0000 4.5631
4.5631 4.5631 0.0000
Sc In
1 7
Direct
0.0000 0.0000 0.0000
0.0000 0.0000 0.5000
0.0000 0.5000 0.0000
0.0000 0.5000 0.5000
0.5000 0.0000 0.0000
0.5000 0.0000 0.5000
0.5000 0.5000 0.0000
0.5000 0.5000 0.5000
```

Energy of formation, meV per atom: -130



Entry 11:
Computed, not measured: a PBEsol-optimized structure of CsZnNiF6 at the meta-GGA SCAN level of DFT.

Cell and atoms, written as POSCAR:
```
CsZnNiF6
1.0
-3.5952 3.6102 5.0711
3.5952 -3.6102 5.0711
3.5952 3.6102 -5.0711
Cs Zn Ni F
2 2 2 12
Direct
0.3786 0.1286 0.2500
0.6214 0.8714 0.7500
0.0000 0.0000 0.5000
0.0000 0.5000 0.0000
0.0000 0.5000 0.5000
0.5000 0.5000 0.0000
0.0805 0.8305 0.2500
0.0823 0.4393 0.2736
0.0823 0.8086 0.6430
0.3079 0.5579 0.7500
0.3343 0.1914 0.7736
0.3343 0.5607 0.1430
0.6657 0.4393 0.8570
0.6657 0.8086 0.2264
0.6921 0.4421 0.2500
0.9177 0.1914 0.3570
0.9177 0.5607 0.7264
0.9195 0.1695 0.7500
```



Entry 12:
Computed, not measured: a PBEsol-optimized structure of YCuRe2 at the meta-GGA SCAN level of DFT.

Cell and atoms, written as POSCAR:
```
YCuRe2
1.0
3.7939 0.0000 0.0000
0.0000 3.7939 0.0000
0.0000 0.0000 4.5349
Y Cu Re
1 1 2
Direct
0.0000 0.0000 0.0000
0.5000 0.5000 0.0000
0.0000 0.5000 0.5000
0.5000 0.0000 0.5000
```

Energy of formation, meV per atom: 334
Energy above the lowest structure with this stoichiometry, meV per atom: 0



no.,total magnetic moment (μB per formula unit),calculated total energy (Ry per atom)
1,1.869,-1.01298
2,2.130,-1.79969
3,4.131,-1.36362
4,0.000,-2.88642
5,0.000,-1.62362
6,4.591,-1.75071
7,5.372,-1.55537
8,0.002,-4.21350
9,4.980,-2.66739
10,0.000,-2.28747
11,1.000,-0.90552
12,0.000,-3.37912